Below is a geometry-optimized K3RbMn2F9 structure, with properties calculated at the PBE+U level.

Calculated values
total DFT energy (no corrections): -5.084 eV/atom

CIF file:
```
data_K3RbMn2F9
_cell_length_a 5.9826
_cell_length_b 5.9826
_cell_length_c 8.7070
_cell_angle_alpha 90.00
_cell_angle_beta 90.00
_cell_angle_gamma 120.00
_symmetry_space_group_name_H-M 'P -3 m 1'
_symmetry_Int_Tables_number 164
_symmetry_space_group_name_Hall '-P 3 2"'
loop_
_atom_site_label
_atom_site_type_symbol
_atom_site_fract_x
_atom_site_fract_y
_atom_site_fract_z
K1 K 0.0000 0.0000 0.0000
K2 K 0.3333 0.6667 0.7389
Rb1 Rb 0.0000 0.0000 0.5000
Mn1 Mn 0.3333 0.6667 0.1429
F1 F 0.0000 0.5000 0.0000
F2 F 0.1723 0.3447 0.2657
```